Entry 1:
Density functional theory data (PBE) for a relaxed SrLi2PaTe4 crystal.

Values from the calculation:
* magnetization: 0.125 μB/atom
* E_form (uncorrected): -1.0522 eV/atom
* symmetry: No. 119
* calculated total energy: -35.99 eV/cell

```
8
Lattice="6.305 0.003 0.000 -0.003 6.305 0.000 -3.151 -3.154 6.361" Properties=species:S:1:pos:R:3 pbc="T T T"
Te 3.151 3.154 3.308
Te 3.152 0.002 6.217
Te 3.152 0.002 0.144
Te 0.000 0.000 3.053
Sr 3.151 3.154 0.000
Li 0.000 0.000 0.000
Li -0.002 3.152 3.180
Pa 3.152 0.002 3.180
```

=====

Entry 2:
Density functional theory data (PBE) for a relaxed LiTb2Pa crystal.

Values from the calculation:
* magnetization: 0.000 μB/atom
* symmetry: No. 123
* calculated total energy: -20.14 eV/cell
* energy of formation from the pure elements: 131 meV per atom

```
4
Lattice="3.415 0.000 0.000 0.000 3.415 0.000 0.000 0.000 9.238" Properties=species:S:1:pos:R:3 pbc="T T T"
Tb 0.000 0.000 6.943
Tb 0.000 0.000 2.296
Pa 1.708 1.708 4.619
Li 1.708 1.708 0.000
```

=====

Entry 3:
Density functional theory data (PBE) for a relaxed LiTb2Pa crystal.

Values from the calculation:
* magnetization: 0.000 μB/atom
* symmetry: No. 166
* calculated total energy: -19.28 eV/cell
* energy of formation from the pure elements: 349 meV per atom

```
4
Lattice="3.244 0.000 0.000 1.622 2.810 0.000 1.622 0.937 11.928" Properties=species:S:1:pos:R:3 pbc="T T T"
Li 3.244 1.873 5.964
Tb 1.622 0.937 8.746
Tb 4.866 2.810 3.182
Pa 0.000 0.000 0.000
```